Material: MnWAu2
Method: DFT, SCAN
State: PBEsol geometry

The structure in CIF format:
```
data_MnWAu2
_cell_length_a 3.8839
_cell_length_b 3.8839
_cell_length_c 8.1048
_cell_angle_alpha 90.00
_cell_angle_beta 90.00
_cell_angle_gamma 90.00
_symmetry_space_group_name_H-M 'I 4/m m m'
_symmetry_Int_Tables_number 139
_symmetry_space_group_name_Hall '-I 4 2'
loop_
_atom_site_label
_atom_site_type_symbol
_atom_site_fract_x
_atom_site_fract_y
_atom_site_fract_z
_atom_site_occupancy
Mn1 Mn 0.0000 0.0000 0.0000 1
W1 W 0.0000 0.0000 0.5000 1
Au1 Au 0.0000 0.5000 0.2500 1
```

Calculated values
Spin magnetization ... 0.5597 μB/atom
Uncorrected energy ... -4.1420 Ry per atom
Formation energy ... 0.21 eV/atom